1.
Tb5PmHoTh2: optimized geometry, PBE-GGA. Values from VASP.

The structure in Quantum ESPRESSO input format:
```
&SYSTEM
  ibrav = 0, nat = 18, ntyp = 4
/
ATOMIC_SPECIES
Tb 158.93 Tb.upf
Pm 145.00 Pm.upf
Ho 164.93 Ho.upf
Th 232.04 Th.upf
CELL_PARAMETERS angstrom
-4.424 4.424 7.693
4.424 -4.424 7.693
4.424 4.424 -7.693
ATOMIC_POSITIONS crystal
Tb 0.000 0.000 0.000
Tb 0.071 0.571 0.918
Tb 0.153 0.071 0.500
Tb 0.347 0.847 0.918
Tb 0.429 0.347 0.500
Tb 0.500 0.500 0.000
Tb 0.571 0.653 0.500
Tb 0.653 0.153 0.082
Tb 0.847 0.929 0.500
Tb 0.929 0.429 0.082
Pm 0.250 0.250 0.000
Pm 0.750 0.750 0.000
Ho 0.250 0.750 0.500
Ho 0.750 0.250 0.500
Th 0.119 0.381 0.500
Th 0.381 0.881 0.262
Th 0.619 0.119 0.738
Th 0.881 0.619 0.500
```

Formation energy: 0.3353 eV per atom
Total energy: -4.9224 eV/atom
Symmetry: I4/mcm

=====

2.
TbPm5Ho2Th: optimized geometry, PBE-GGA. Values from VASP.

The structure in Quantum ESPRESSO input format:
```
&SYSTEM
  ibrav = 0, nat = 18, ntyp = 4
/
ATOMIC_SPECIES
Tb 158.93 Tb.upf
Pm 145.00 Pm.upf
Ho 164.93 Ho.upf
Th 232.04 Th.upf
CELL_PARAMETERS angstrom
2.828 -10.215 0.000
2.828 10.215 0.000
0.000 0.000 10.573
ATOMIC_POSITIONS crystal
Tb 0.093 0.907 0.500
Tb 0.907 0.093 0.000
Pm 0.020 0.980 0.789
Pm 0.113 0.887 0.071
Pm 0.206 0.794 0.750
Pm 0.223 0.777 0.358
Pm 0.485 0.515 0.065
Pm 0.515 0.485 0.565
Pm 0.777 0.223 0.858
Pm 0.794 0.206 0.250
Pm 0.887 0.113 0.571
Pm 0.980 0.020 0.289
Ho 0.385 0.615 0.359
Ho 0.387 0.613 0.782
Ho 0.613 0.387 0.282
Ho 0.615 0.385 0.859
Th 0.301 0.699 0.057
Th 0.699 0.301 0.557
```

Formation energy: 0.1569 eV per atom
Total energy: -4.8385 eV/atom
Symmetry: Cmc2_1

=====

3.
Tb5Pm2HoTh: optimized geometry, PBE-GGA. Values from VASP.

The structure in Quantum ESPRESSO input format:
```
&SYSTEM
  ibrav = 0, nat = 18, ntyp = 4
/
ATOMIC_SPECIES
Tb 158.93 Tb.upf
Pm 145.00 Pm.upf
Ho 164.93 Ho.upf
Th 232.04 Th.upf
CELL_PARAMETERS angstrom
2.868 -10.792 0.000
2.868 10.792 0.000
0.000 0.000 9.805
ATOMIC_POSITIONS crystal
Tb 0.015 0.985 0.500
Tb 0.271 0.729 0.811
Tb 0.305 0.695 0.201
Tb 0.397 0.603 0.526
Tb 0.470 0.530 0.227
Tb 0.530 0.470 0.727
Tb 0.603 0.397 0.026
Tb 0.695 0.305 0.701
Tb 0.729 0.271 0.311
Tb 0.985 0.015 0.000
Pm 0.115 0.885 0.812
Pm 0.130 0.870 0.195
Pm 0.870 0.130 0.695
Pm 0.885 0.115 0.312
Ho 0.190 0.810 0.501
Ho 0.810 0.190 0.001
Th 0.404 0.596 0.910
Th 0.596 0.404 0.410
```

Formation energy: 0.1598 eV per atom
Total energy: -4.8013 eV/atom
Symmetry: Cmc2_1

=====

4.
Tb2Pm6Ho3Th: optimized geometry, PBE-GGA. Values from VASP.

The structure in Quantum ESPRESSO input format:
```
&SYSTEM
  ibrav = 0, nat = 12, ntyp = 4
/
ATOMIC_SPECIES
Tb 158.93 Tb.upf
Pm 145.00 Pm.upf
Ho 164.93 Ho.upf
Th 232.04 Th.upf
CELL_PARAMETERS angstrom
3.120 -5.399 0.000
3.120 5.399 0.000
-2.082 0.000 11.739
ATOMIC_POSITIONS crystal
Tb 0.167 0.833 0.000
Tb 0.833 0.167 0.000
Pm 0.086 0.416 0.750
Pm 0.254 0.254 0.250
Pm 0.416 0.086 0.750
Pm 0.584 0.914 0.250
Pm 0.746 0.746 0.750
Pm 0.914 0.584 0.250
Ho 0.000 0.000 0.500
Ho 0.333 0.667 0.500
Ho 0.667 0.333 0.500
Th 0.500 0.500 0.000
```

Formation energy: 0.0306 eV per atom
Total energy: -4.8792 eV/atom
Symmetry: C2/m

=====

5.
TbPm6Ho3Th2: optimized geometry, PBE-GGA. Values from VASP.

The structure in Quantum ESPRESSO input format:
```
&SYSTEM
  ibrav = 0, nat = 12, ntyp = 4
/
ATOMIC_SPECIES
Tb 158.93 Tb.upf
Pm 145.00 Pm.upf
Ho 164.93 Ho.upf
Th 232.04 Th.upf
CELL_PARAMETERS angstrom
3.119 -5.395 0.000
3.119 5.395 0.000
-2.080 0.000 11.775
ATOMIC_POSITIONS crystal
Tb 0.000 0.000 0.000
Pm 0.083 0.419 0.249
Pm 0.254 0.254 0.751
Pm 0.419 0.083 0.249
Pm 0.581 0.917 0.751
Pm 0.746 0.746 0.249
Pm 0.917 0.581 0.751
Ho 0.167 0.833 0.500
Ho 0.500 0.500 0.500
Ho 0.833 0.167 0.500
Th 0.334 0.666 0.000
Th 0.666 0.334 0.000
```

Formation energy: 0.0376 eV per atom
Total energy: -5.1046 eV/atom
Symmetry: C2/m

=====

6.
TbPm3Ho6Th2: optimized geometry, PBE-GGA. Values from VASP.

The structure in Quantum ESPRESSO input format:
```
&SYSTEM
  ibrav = 0, nat = 12, ntyp = 4
/
ATOMIC_SPECIES
Tb 158.93 Tb.upf
Pm 145.00 Pm.upf
Ho 164.93 Ho.upf
Th 232.04 Th.upf
CELL_PARAMETERS angstrom
3.096 -5.360 0.000
3.096 5.360 0.000
-2.067 0.000 11.568
ATOMIC_POSITIONS crystal
Tb 0.000 0.000 0.000
Pm 0.166 0.834 0.500
Pm 0.500 0.500 0.500
Pm 0.834 0.166 0.500
Ho 0.082 0.419 0.246
Ho 0.256 0.256 0.754
Ho 0.419 0.082 0.246
Ho 0.581 0.918 0.754
Ho 0.744 0.744 0.246
Ho 0.918 0.581 0.754
Th 0.333 0.667 0.000
Th 0.667 0.333 0.000
```

Formation energy: 0.0193 eV per atom
Total energy: -5.0797 eV/atom
Symmetry: C2/m

=====

7.
Tb6PmHo2Th: optimized geometry, PBE-GGA. Values from VASP.

The structure in Quantum ESPRESSO input format:
```
&SYSTEM
  ibrav = 0, nat = 20, ntyp = 4
/
ATOMIC_SPECIES
Tb 158.93 Tb.upf
Pm 145.00 Pm.upf
Ho 164.93 Ho.upf
Th 232.04 Th.upf
CELL_PARAMETERS angstrom
4.652 -7.450 0.000
4.652 7.450 0.000
-0.996 0.000 9.405
ATOMIC_POSITIONS crystal
Tb 0.017 0.572 0.183
Tb 0.113 0.763 0.560
Tb 0.237 0.887 0.940
Tb 0.294 0.519 0.386
Tb 0.428 0.983 0.317
Tb 0.481 0.706 0.114
Tb 0.519 0.294 0.886
Tb 0.572 0.017 0.683
Tb 0.706 0.481 0.614
Tb 0.763 0.113 0.060
Tb 0.887 0.237 0.440
Tb 0.983 0.428 0.817
Pm 0.408 0.592 0.750
Pm 0.592 0.408 0.250
Ho 0.199 0.297 0.053
Ho 0.297 0.199 0.553
Ho 0.703 0.801 0.447
Ho 0.801 0.703 0.947
Th 0.034 0.966 0.250
Th 0.966 0.034 0.750
```

Formation energy: 0.1498 eV per atom
Total energy: -4.7609 eV/atom
Symmetry: C2/c

=====

8.
Tb2PmHo5Th: optimized geometry, PBE-GGA. Values from VASP.

The structure in Quantum ESPRESSO input format:
```
&SYSTEM
  ibrav = 0, nat = 18, ntyp = 4
/
ATOMIC_SPECIES
Tb 158.93 Tb.upf
Pm 145.00 Pm.upf
Ho 164.93 Ho.upf
Th 232.04 Th.upf
CELL_PARAMETERS angstrom
2.811 -10.025 0.000
2.811 10.025 0.000
0.000 0.000 10.368
ATOMIC_POSITIONS crystal
Tb 0.113 0.887 0.500
Tb 0.115 0.885 0.911
Tb 0.885 0.115 0.411
Tb 0.887 0.113 0.000
Pm 0.411 0.589 0.627
Pm 0.589 0.411 0.127
Ho 0.017 0.983 0.204
Ho 0.275 0.725 0.498
Ho 0.298 0.702 0.890
Ho 0.388 0.612 0.206
Ho 0.478 0.522 0.918
Ho 0.522 0.478 0.418
Ho 0.612 0.388 0.706
Ho 0.702 0.298 0.390
Ho 0.725 0.275 0.998
Ho 0.983 0.017 0.704
Th 0.200 0.800 0.196
Th 0.800 0.200 0.696
```

Formation energy: 0.1653 eV per atom
Total energy: -4.7591 eV/atom
Symmetry: Cmc2_1

=====

9.
Tb2Pm6HoTh: optimized geometry, PBE-GGA. Values from VASP.

The structure in Quantum ESPRESSO input format:
```
&SYSTEM
  ibrav = 0, nat = 20, ntyp = 4
/
ATOMIC_SPECIES
Tb 158.93 Tb.upf
Pm 145.00 Pm.upf
Ho 164.93 Ho.upf
Th 232.04 Th.upf
CELL_PARAMETERS angstrom
4.638 -7.508 0.000
4.638 7.508 0.000
-1.427 0.000 9.682
ATOMIC_POSITIONS crystal
Tb 0.199 0.291 0.049
Tb 0.291 0.199 0.549
Tb 0.709 0.801 0.451
Tb 0.801 0.709 0.951
Pm 0.012 0.575 0.187
Pm 0.111 0.755 0.556
Pm 0.245 0.889 0.944
Pm 0.298 0.510 0.380
Pm 0.425 0.988 0.313
Pm 0.490 0.702 0.120
Pm 0.510 0.298 0.880
Pm 0.575 0.012 0.687
Pm 0.702 0.490 0.620
Pm 0.755 0.111 0.056
Pm 0.889 0.245 0.444
Pm 0.988 0.425 0.813
Ho 0.407 0.593 0.750
Ho 0.593 0.407 0.250
Th 0.026 0.974 0.250
Th 0.974 0.026 0.750
```

Formation energy: 0.1455 eV per atom
Total energy: -4.8307 eV/atom
Symmetry: C2/c

=====

10.
Tb6PmHo2Th3: optimized geometry, PBE-GGA. Values from VASP.

The structure in Quantum ESPRESSO input format:
```
&SYSTEM
  ibrav = 0, nat = 12, ntyp = 4
/
ATOMIC_SPECIES
Tb 158.93 Tb.upf
Pm 145.00 Pm.upf
Ho 164.93 Ho.upf
Th 232.04 Th.upf
CELL_PARAMETERS angstrom
3.095 -5.360 0.000
3.095 5.360 0.000
-2.069 0.000 11.595
ATOMIC_POSITIONS crystal
Tb 0.081 0.415 0.246
Tb 0.251 0.251 0.754
Tb 0.415 0.081 0.246
Tb 0.585 0.919 0.754
Tb 0.749 0.749 0.246
Tb 0.919 0.585 0.754
Pm 0.500 0.500 0.500
Ho 0.167 0.833 0.500
Ho 0.833 0.167 0.500
Th 0.000 0.000 0.000
Th 0.334 0.666 0.000
Th 0.666 0.334 0.000
```

Formation energy: 0.0226 eV per atom
Total energy: -5.3064 eV/atom
Symmetry: C2/m

=====

11.
Tb5PmHo2Th: optimized geometry, PBE-GGA. Values from VASP.

The structure in Quantum ESPRESSO input format:
```
&SYSTEM
  ibrav = 0, nat = 18, ntyp = 4
/
ATOMIC_SPECIES
Tb 158.93 Tb.upf
Pm 145.00 Pm.upf
Ho 164.93 Ho.upf
Th 232.04 Th.upf
CELL_PARAMETERS angstrom
2.864 -10.751 0.000
2.864 10.751 0.000
0.000 0.000 9.752
ATOMIC_POSITIONS crystal
Tb 0.014 0.986 0.500
Tb 0.273 0.727 0.803
Tb 0.304 0.696 0.195
Tb 0.400 0.600 0.523
Tb 0.468 0.532 0.222
Tb 0.532 0.468 0.722
Tb 0.600 0.400 0.023
Tb 0.696 0.304 0.695
Tb 0.727 0.273 0.303
Tb 0.986 0.014 0.000
Pm 0.189 0.811 0.500
Pm 0.811 0.189 0.000
Ho 0.117 0.883 0.815
Ho 0.127 0.873 0.195
Ho 0.873 0.127 0.695
Ho 0.883 0.117 0.315
Th 0.407 0.593 0.903
Th 0.593 0.407 0.403
```

Formation energy: 0.1593 eV per atom
Total energy: -4.7826 eV/atom
Symmetry: Cmc2_1

=====

12.
TbPmHo2Tl2: optimized geometry, PBE-GGA. Values from VASP.

The structure in Quantum ESPRESSO input format:
```
&SYSTEM
  ibrav = 0, nat = 12, ntyp = 4
/
ATOMIC_SPECIES
Tb 158.93 Tb.upf
Pm 145.00 Pm.upf
Ho 164.93 Ho.upf
Tl 204.38 Tl.upf
CELL_PARAMETERS angstrom
5.134 0.000 0.000
0.000 10.046 0.000
0.000 0.000 6.811
ATOMIC_POSITIONS crystal
Tb 0.000 0.190 0.000
Tb 0.000 0.810 0.500
Pm 0.500 0.041 0.277
Pm 0.500 0.959 0.777
Ho 0.000 0.458 0.368
Ho 0.000 0.542 0.868
Ho 0.500 0.317 0.651
Ho 0.500 0.683 0.151
Tl 0.000 0.140 0.535
Tl 0.000 0.860 0.035
Tl 0.500 0.368 0.115
Tl 0.500 0.632 0.615
```

Formation energy: -0.2686 eV per atom
Total energy: -4.1468 eV/atom
Symmetry: Pmc2_1